! PBE-GGA Sb2RhWI, relaxed; values from VASP
! - Size of the total moment: 0.00 Bohr magnetons per cell
! - Raw formation energy: 6.30 eV/f.u.
! - Symmetry: No. 123
! - Polymorph energy (0 for the lowest one): 0.00 eV per formula unit
! - Density of states at the Fermi level: 6.2 states/eV/cell
! - Crystal system: tetragonal
&SYSTEM
  ibrav = 0, nat = 5, ntyp = 4
/
ATOMIC_SPECIES
Sb 121.76 Sb.upf
Rh 102.91 Rh.upf
W 183.84 W.upf
I 126.90 I.upf
CELL_PARAMETERS angstrom
5.170 0.000 0.000
0.000 5.170 0.000
0.000 0.000 5.471
ATOMIC_POSITIONS angstrom
Sb 0.000 2.585 0.000
Sb 2.585 0.000 0.000
Rh 0.000 0.000 2.736
W 2.585 2.585 0.000
I 2.585 2.585 2.736